Entry 1:
This record from Alexandria via LeMat-Bulk describes a geometry-optimized U2Al4ZnAu3 structure. The functional is PBE-GGA.

Lattice parameters (Å, degrees): 4.253 4.253 10.828 90.00 90.00 90.00
Fractional coordinates of all 10 atoms:
U (0.000, 0.500, 0.244)
U (0.500, 0.000, 0.756)
Al (0.000, 0.000, 0.500)
Al (0.000, 0.500, 0.865)
Al (0.500, 0.000, 0.135)
Al (0.500, 0.500, 0.500)
Zn (0.500, 0.500, 0.000)
Au (0.000, 0.000, 0.000)
Au (0.000, 0.500, 0.636)
Au (0.500, 0.000, 0.364)

For the energy relative to the elements, the calculation gives -26.4 kJ/mol of atoms. The crystal system is tetragonal.


Entry 2:
This record from Alexandria via LeMat-Bulk describes a geometry-optimized Cs8TeAu3I4 structure. The functional is PBE-GGA.

Lattice parameters (Å, degrees): 10.880 10.880 10.880 60.27 60.27 60.27
Fractional coordinates of all 16 atoms:
Cs (0.240, 0.751, 0.751)
Cs (0.246, 0.246, 0.246)
Cs (0.249, 0.249, 0.760)
Cs (0.249, 0.760, 0.249)
Cs (0.751, 0.240, 0.751)
Cs (0.751, 0.751, 0.240)
Cs (0.754, 0.754, 0.754)
Cs (0.760, 0.249, 0.249)
Te (0.500, 0.500, 0.500)
Au (0.000, 0.000, 0.500)
Au (0.000, 0.500, 0.000)
Au (0.500, 0.000, 0.000)
I (0.000, 0.000, 0.000)
I (0.000, 0.500, 0.500)
I (0.500, 0.000, 0.500)
I (0.500, 0.500, 0.000)

The crystal system is trigonal. The calculation puts the total DFT energy (no corrections) at -2.56 eV per atom.


Entry 3:
This record from Alexandria via LeMat-Bulk describes a geometry-optimized BaAg3Rh structure. The functional is PBE-GGA.

Lattice parameters (Å, degrees): 5.907 5.907 5.907 90.00 90.00 90.00
Fractional coordinates of all 5 atoms:
Ba (0.000, 0.000, 0.000)
Ag (0.000, 0.000, 0.500)
Ag (0.000, 0.500, 0.000)
Ag (0.500, 0.000, 0.000)
Rh (0.500, 0.500, 0.500)

For the energy relative to the elements, the calculation gives 159.7 kJ/mol of atoms. The crystal system is cubic. The distance to the lowest polymorph of the same formula comes out at 1462 meV/atom.


Entry 4:
This record from Alexandria via LeMat-Bulk describes a geometry-optimized SrInSiOs2 structure. The functional is PBE-GGA.

Lattice parameters (Å, degrees): 4.902 4.902 5.475 90.00 90.00 90.00
Fractional coordinates of all 5 atoms:
Sr (0.000, 0.000, 0.000)
In (0.000, 0.000, 0.500)
Si (0.500, 0.500, 0.500)
Os (0.000, 0.500, 0.000)
Os (0.500, 0.000, 0.000)

The crystal system is tetragonal. The calculation puts the total DFT energy (no corrections) at -3.52 eV per atom.


Entry 5:
This record from Alexandria via LeMat-Bulk describes a geometry-optimized KInW2 structure. The functional is PBE-GGA.

Lattice parameters (Å, degrees): 2.803 5.306 5.517 90.00 90.00 90.00
Fractional coordinates of all 4 atoms:
K (0.000, 0.000, 0.000)
In (0.500, 0.500, 0.000)
W (0.000, 0.500, 0.500)
W (0.500, 0.000, 0.500)

For the energy relative to the elements, the calculation gives 135.9 kJ/mol of atoms. The crystal system is orthorhombic.


Entry 6:
This record from Alexandria via LeMat-Bulk describes a geometry-optimized KZrMo2 structure. The functional is PBE-GGA.

Lattice parameters (Å, degrees): 2.884 2.884 10.838 90.00 90.00 111.43
Fractional coordinates of all 4 atoms:
K (0.000, 0.000, 0.000)
Zr (0.000, 0.000, 0.500)
Mo (0.500, 0.500, 0.285)
Mo (0.500, 0.500, 0.715)

For the energy relative to the elements, the calculation gives 76.1 kJ/mol of atoms. The crystal system is orthorhombic. The distance to the lowest polymorph of the same formula comes out at 234 meV/atom.